## P
Here is a relaxed HfZr3Pd crystal from Alexandria. Energies are from PBE.

Properties
total moment: 0.00 Bohr magnetons per cell
volume: 25.73 Å³/atom

Geometry as POSCAR:
```
HfZr3Pd
1.0
5.048 0.000 0.000
0.000 5.048 0.000
0.000 0.000 5.048
Hf Zr Pd
1 3 1
direct
0.000 0.000 0.000
0.000 0.500 0.500
0.500 0.000 0.500
0.500 0.500 0.000
0.500 0.500 0.500
```

***

## Q
Here is a relaxed HfZr3Pd crystal from Alexandria. Energies are from PBE.

Properties
total moment: 0.00 Bohr magnetons per cell
volume: 26.47 Å³/atom

Geometry as POSCAR:
```
HfZr3Pd
1.0
5.096 0.000 0.000
0.000 5.096 0.000
0.000 0.000 5.096
Hf Zr Pd
1 3 1
direct
0.000 0.000 0.000
0.000 0.000 0.500
0.000 0.500 0.000
0.500 0.000 0.000
0.500 0.500 0.500
```

***

## R
Here is a relaxed HfZr3Pd crystal from Alexandria. Energies are from PBE.

Properties
total moment: 0.00 Bohr magnetons per cell
volume: 26.38 Å³/atom

Geometry as POSCAR:
```
HfZr3Pd
1.0
-2.662 2.662 9.308
2.662 -2.662 9.308
2.662 2.662 -9.308
Hf Zr Pd
2 6 2
direct
0.196 0.196 0.000
0.804 0.804 0.000
0.374 0.125 0.751
0.374 0.623 0.249
0.377 0.626 0.751
0.561 0.061 0.500
0.875 0.626 0.249
0.939 0.439 0.500
0.250 0.750 0.500
0.500 0.500 0.000
```

***

Here are the energies relative to the best structure, in meV per atom: P 0; Q 625; R 47.

***

## P
Here is a relaxed PmHf crystal from Alexandria. Energies are from PBE.

Properties
total moment: 0.00 Bohr magnetons per cell
volume: 27.25 Å³/atom

Geometry as POSCAR:
```
PmHf
1.0
3.377 0.000 0.000
-1.688 2.924 0.000
0.000 0.000 5.520
Pm Hf
1 1
direct
0.000 0.000 0.000
0.333 0.667 0.500
```

***

## Q
Here is a relaxed PmHf crystal from Alexandria. Energies are from PBE.

Properties
total moment: 0.00 Bohr magnetons per cell
volume: 27.42 Å³/atom

Geometry as POSCAR:
```
PmHf
1.0
3.334 0.000 0.000
0.000 5.362 0.000
0.000 0.000 6.135
Pm Hf
2 2
direct
0.250 0.250 0.102
0.750 0.750 0.898
0.250 0.750 0.432
0.750 0.250 0.568
```

***

Here are the energies relative to the best structure, in meV per atom: P 42; Q 0.